# PBE Zr2BeAg, optimized geometry
data_Zr2BeAg
_cell_length_a 3.045
_cell_length_b 3.073
_cell_length_c 7.684
_cell_angle_alpha 90.00
_cell_angle_beta 90.00
_cell_angle_gamma 90.00
_symmetry_space_group_name_H-M 'P 1'
_symmetry_Int_Tables_number 1
loop_
_symmetry_equiv_pos_as_xyz
'x,y,z'
loop_
_atom_site_label
_atom_site_fract_x
_atom_site_fract_y
_atom_site_fract_z
Zr1 0.000 0.000 0.218
Zr2 0.000 0.000 0.782
Be1 0.500 0.500 0.000
Ag1 0.500 0.500 0.500
# Symmetry = No. 47
# Electronic total energy = -0.43933 Ry/atom
# Energy of formation = -0.0589 eV/atom
# Mass density = 6.91 Mg/m³